## NdDyY5Er2 (PBE-GGA)

Data for crystalline NdDyY5Er2 at its relaxed geometry.

Calculated values
crystal system	orthorhombic
space group	Cmc2_1
magnetization	0.00	μB/cell
energy of formation from the pure elements	15	kJ per mole of atoms

Structure (POSCAR):
```
NdDyY5Er2
1.0
5.6226 0.0000 0.0000
-2.8113 9.9861 0.0000
0.0000 0.0000 10.5362
Nd Dy Y Er
2 2 10 4
Direct
0.5847 0.1694 0.9485
0.4153 0.8306 0.4485
0.8030 0.6059 0.5137
0.1970 0.3941 0.0137
0.3844 0.7688 0.0233
0.7210 0.4419 0.8183
0.4784 0.9567 0.7363
0.2984 0.5968 0.7077
0.9829 0.9658 0.5225
0.6156 0.2312 0.5233
0.2790 0.5581 0.3183
0.5216 0.0433 0.2363
0.7016 0.4032 0.2077
0.0171 0.0342 0.0225
0.8872 0.7745 0.8181
0.1114 0.2229 0.7355
0.1128 0.2255 0.3181
0.8886 0.7771 0.2355
```

---

## TcAgSbI2 (PBE-GGA)

Data for crystalline TcAgSbI2 at its relaxed geometry.

Calculated values
crystal system	tetragonal
E_form (uncorrected)	1180	meV per atom
space group	P4/mmm
energy above the lowest structure with this stoichiometry	555	meV per atom
magnetization	3.95	μB/cell

Structure (POSCAR):
```
TcAgSbI2
1.0
5.6018 0.0000 0.0000
0.0000 5.6018 0.0000
0.0000 0.0000 5.5363
I Sb Tc Ag
2 1 1 1
Direct
0.0000 0.5000 0.0000
0.5000 0.0000 0.0000
0.0000 0.0000 0.5000
0.5000 0.5000 0.5000
0.0000 0.0000 0.0000
```

---

## Li2Mg2Pb (PBE-GGA)

Data for crystalline Li2Mg2Pb at its relaxed geometry.

Calculated values
crystal system	triclinic
space group	P-1
energy above the lowest structure with this stoichiometry	81	meV per atom
magnetization	0.00	μB/cell
energy of formation from the pure elements	1	kJ per mole of atoms

Structure (POSCAR):
```
Li2Mg2Pb
1.0
6.2801 -0.7535 1.9453
-0.6205 6.2824 1.9401
1.8635 1.8184 4.5468
Li Mg Pb
2 2 1
Direct
0.0000 0.5000 0.5000
0.5000 0.0000 0.5000
0.6686 0.6691 0.9990
0.3314 0.3309 0.0010
0.0000 0.0000 0.0000
```

---

## YTmAlPb (PBE-GGA)

Data for crystalline YTmAlPb at its relaxed geometry.

Calculated values
crystal system	cubic
space group	F-43m
magnetization	0.00	μB/cell
energy of formation from the pure elements	-31	kJ per mole of atoms

Structure (POSCAR):
```
YTmAlPb
1.0
-4.6537 -2.1748 1.1772
-0.5798 -5.2353 -0.1679
-0.5766 -2.7319 4.4695
Pb Y Tm Al
1 1 1 1
Direct
0.5000 0.5000 0.5000
0.7500 0.7500 0.7500
0.2500 0.2500 0.2500
0.0000 0.0000 0.0000
```

---

## PmScS (PBE-GGA)

Data for crystalline PmScS at its relaxed geometry.

Calculated values
crystal system	trigonal
E_form (uncorrected)	-1198	meV per atom
space group	P3m1
magnetization	0.10	μB/cell

Structure (POSCAR):
```
PmScS
1.0
-3.4695 -4.3607 2.6512
2.1021 -2.6434 -1.5970
0.9098 1.3262 3.3720
Sc S Pm
1 1 1
Direct
0.2481 0.3333 0.6667
0.0223 0.0000 0.0000
0.7296 0.6667 0.3333
```

---

## Sm2ThMg2In2 (PBE-GGA)

Data for crystalline Sm2ThMg2In2 at its relaxed geometry.

Calculated values
crystal system	trigonal
space group	R-3m
magnetization	0.00	μB/cell
energy of formation from the pure elements	-18	kJ per mole of atoms

Structure (POSCAR):
```
Sm2ThMg2In2
1.0
5.0547 0.0000 0.0000
2.5274 4.3775 0.0000
2.5274 1.4592 8.8935
Sm Th Mg In
2 1 2 2
Direct
0.1292 0.1292 0.6124
0.8708 0.8708 0.3876
0.0000 0.0000 0.0000
0.5976 0.5976 0.2071
0.4024 0.4024 0.7929
0.7358 0.7358 0.7926
0.2642 0.2642 0.2074
```

---

## Li2Ag2SnHg2 (PBE-GGA)

Data for crystalline Li2Ag2SnHg2 at its relaxed geometry.

Calculated values
crystal system	trigonal
space group	R-3m
magnetization	0.00	μB/cell
energy of formation from the pure elements	-14	kJ per mole of atoms

Structure (POSCAR):
```
Li2Ag2SnHg2
1.0
-1.6903 1.9129 3.9384
1.1857 -1.7885 4.1740
5.5121 4.4733 2.9895
Li Ag Sn Hg
2 2 1 2
Direct
0.7271 0.7271 0.8187
0.2729 0.2729 0.1813
0.5967 0.5967 0.2099
0.4033 0.4033 0.7901
0.0000 0.0000 0.0000
0.1392 0.1392 0.5825
0.8608 0.8608 0.4175
```

---

## Pm3Pr2NdP6 (PBE-GGA)

Data for crystalline Pm3Pr2NdP6 at its relaxed geometry.

Calculated values
crystal system	monoclinic
space group	C2/m
magnetization	0.00	μB/cell
energy of formation from the pure elements	-149	kJ per mole of atoms

Structure (POSCAR):
```
Pm3Pr2NdP6
1.0
4.1642 0.0000 0.0000
0.0000 8.3180 0.2970
-2.0821 -2.3966 8.7461
Pm Pr Nd P
3 2 1 6
Direct
0.5000 0.5000 0.0000
0.8333 0.1666 0.6666
0.1667 0.8334 0.3334
0.8336 0.6671 0.6671
0.1664 0.3329 0.3329
0.5000 0.0000 0.0000
0.3330 0.9194 0.6659
0.6657 0.5856 0.3314
0.6670 0.0806 0.3341
0.9990 0.2508 0.9979
0.0010 0.7492 0.0021
0.3343 0.4144 0.6686
```

---

## FeCoPb2 (PBE-GGA)

Data for crystalline FeCoPb2 at its relaxed geometry.

Calculated values
crystal system	orthorhombic
space group	Cmmm
magnetization	3.75	μB/cell
energy of formation from the pure elements	61	kJ per mole of atoms

Structure (POSCAR):
```
FeCoPb2
1.0
-0.3711 -2.3070 2.3810
1.1834 -2.0760 -2.3278
6.4185 1.2159 2.1785
Co Fe Pb
1 1 2
Direct
0.5000 0.5000 0.2500
0.5000 0.5000 0.7500
0.0000 0.0000 0.0089
0.0000 0.0000 0.4911
```

---

## Nd12SmHo7 (PBE-GGA)

Data for crystalline Nd12SmHo7 at its relaxed geometry.

Calculated values
crystal system	trigonal
space group	R-3
energy above the lowest structure with this stoichiometry	0	meV per atom
magnetization	0.00	μB/cell
energy of formation from the pure elements	14	kJ per mole of atoms

Structure (POSCAR):
```
Nd12SmHo7
1.0
-4.1732 5.3162 6.5939
-6.7026 -3.1364 -5.8648
3.8221 -7.4857 4.3027
Nd Sm Ho
12 1 7
Direct
0.7781 0.3284 0.6232
0.6716 0.3768 0.2219
0.4075 0.0517 0.2959
0.9483 0.7041 0.5925
0.3768 0.2219 0.6716
0.7041 0.5925 0.9483
0.2959 0.4075 0.0517
0.6232 0.7781 0.3284
0.0517 0.2959 0.4075
0.5925 0.9483 0.7041
0.3284 0.6232 0.7781
0.2219 0.6716 0.3768
0.0000 0.0000 0.0000
0.1046 0.6804 0.9918
0.3196 0.0082 0.8954
0.0082 0.8954 0.3196
0.5000 0.5000 0.5000
0.9918 0.1046 0.6804
0.6804 0.9918 0.1046
0.8954 0.3196 0.0082
```

---

## PmHoSN (PBE-GGA)

Data for crystalline PmHoSN at its relaxed geometry.

Calculated values
crystal system	trigonal
E_form (uncorrected)	-1815	meV per atom
space group	R3m
magnetization	0.00	μB/cell

Structure (POSCAR):
```
PmHoSN
1.0
3.6655 0.0000 0.0000
1.8327 3.1744 0.0000
1.8327 1.0581 6.3950
Pm Ho S N
1 1 1 1
Direct
0.9872 0.9872 0.0384
0.5141 0.5141 0.4578
0.7542 0.7542 0.7375
0.2446 0.2446 0.2663
```

---

## CaZnAs2 (PBE-GGA)

Data for crystalline CaZnAs2 at its relaxed geometry.

Calculated values
crystal system	tetragonal
space group	P4mm
magnetization	0.00	μB/cell
energy of formation from the pure elements	-22	kJ per mole of atoms

Structure (POSCAR):
```
CaZnAs2
1.0
-2.8705 -2.5687 -0.7447
1.9600 -2.7637 1.9781
-2.6830 1.5855 4.8735
As Ca Zn
2 1 1
Direct
0.0000 0.0000 0.9322
0.5000 0.5000 0.2950
0.0000 0.0000 0.4371
0.5000 0.5000 0.8357
```